Entry 1:
InBi12Pt7, optimized geometry, DFT PBE-GGA; energy relative to the elements = -116 meV per atom; total magnetic moment = 0.00 Bohr magnetons per cell; N(E_F) = 0.63 states/eV/atom
1.0
8.387 0.260 0.390
-2.083 8.129 0.390
-2.083 -2.771 7.652
Bi Pt In
12 7 1
Cartesian
-0.543 1.923 4.094
4.765 3.694 4.337
-0.989 3.958 7.809
5.733 0.629 6.660
0.145 -1.532 5.285
-1.511 4.987 1.771
1.153 5.294 5.079
2.223 1.844 6.842
1.999 3.773 1.589
3.069 0.323 3.352
5.211 1.659 0.622
4.077 7.149 3.146
1.829 4.515 7.651
2.392 1.102 0.780
4.603 3.237 7.114
3.829 5.900 5.727
-0.381 2.380 1.317
2.111 2.808 4.215
0.393 -0.283 2.704
0.000 0.000 0.000


Entry 2:
LiURh4, optimized geometry, DFT PBE-GGA; excess energy over the best structure of this formula in the dataset = 0.0 meV per atom; energy relative to the elements = -310 meV per atom; total magnetic moment = 1.40 Bohr magnetons per cell; N(E_F) = 1.40 states/eV/atom
1.0
-2.732 4.089 1.706
-0.932 0.567 5.090
2.374 3.782 2.675
Rh U Li
4 1 1
Cartesian
-1.985 3.387 4.583
-0.342 4.986 3.383
0.553 3.235 5.065
-0.805 5.268 5.913
0.000 0.000 0.000
-0.323 2.110 2.368


Entry 3:
Ac6TlAu, optimized geometry, DFT PBE-GGA; energy relative to the elements = -88 meV per atom; total magnetic moment = 0.24 Bohr magnetons per cell; N(E_F) = 1.42 states/eV/atom
1.0
7.529 -0.525 -0.536
-3.288 6.793 -0.536
-1.263 -1.866 7.251
Ac Au Tl
6 1 1
Cartesian
-1.308 2.667 1.561
0.016 4.624 4.617
2.785 4.116 1.125
2.962 -0.222 1.561
0.194 0.286 5.053
4.286 1.735 4.617
1.489 2.201 3.089
0.000 0.000 0.000


Entry 4:
ZrV3Ni, optimized geometry, DFT PBE-GGA; excess energy over the best structure of this formula in the dataset = 0.0 meV per atom; energy relative to the elements = 690 meV per atom; total magnetic moment = 1.72 Bohr magnetons per cell; N(E_F) = 1.67 states/eV/atom
1.0
4.409 0.000 0.000
0.000 4.409 0.000
0.000 0.000 4.409
V Ni Zr
3 1 1
Cartesian
2.204 0.000 0.000
0.000 2.204 0.000
0.000 0.000 2.204
0.000 0.000 0.000
2.204 2.204 2.204


Entry 5:
CaMg2Ir2, optimized geometry, DFT PBE-GGA; excess energy over the best structure of this formula in the dataset = 0.0 meV per atom; energy relative to the elements = -278 meV per atom; total magnetic moment = 0.00 Bohr magnetons per cell; N(E_F) = 0.38 states/eV/atom
1.0
-6.591 1.304 4.001
-4.170 -1.026 -6.536
-0.213 -2.880 0.588
Ir Ca Mg
4 2 4
Cartesian
-7.982 -1.420 -2.460
-2.993 -1.182 0.513
-6.963 -0.696 1.456
-4.011 -1.906 -3.402
0.000 0.000 0.000
-5.381 0.139 -1.267
-6.104 -0.409 -4.214
-4.658 0.687 1.680
-2.392 -0.218 -1.934
-8.370 0.496 -0.600


Entry 6:
Pm4YTh3S8, optimized geometry, DFT PBE-GGA; total magnetic moment = 0.00 Bohr magnetons per cell; N(E_F) = 0.42 states/eV/atom; formation energy without anion corrections = -1.949 eV per atom
1.0
8.021 0.000 0.000
0.000 8.067 0.027
-4.011 -4.006 5.675
Pm S Y Th
4 8 1 3
Cartesian
4.011 0.000 0.000
0.000 0.000 0.000
-2.005 -2.003 2.837
2.005 -2.003 2.837
6.051 6.027 0.029
0.000 -0.006 2.831
0.000 4.059 2.817
4.011 0.002 2.885
-2.040 -1.967 5.673
2.040 -1.967 5.673
1.971 6.027 0.029
4.011 4.066 2.871
0.000 4.033 0.014
4.011 4.033 0.014
-2.005 2.030 2.851
2.005 2.030 2.851


Entry 7:
LaSm2Os, optimized geometry, DFT PBE-GGA; excess energy over the best structure of this formula in the dataset = 0.0 meV per atom; energy relative to the elements = -158 meV per atom; total magnetic moment = 0.00 Bohr magnetons per cell; N(E_F) = 1.06 states/eV/atom
1.0
6.562 0.000 0.000
0.000 7.448 0.000
0.000 0.000 9.616
Os Sm La
4 8 4
Cartesian
0.302 2.835 2.404
3.583 0.889 7.212
6.260 4.612 7.212
2.979 6.559 2.404
1.110 5.002 0.645
2.171 1.279 0.645
2.171 1.279 4.163
5.452 2.445 8.971
4.391 6.169 5.453
5.452 2.445 5.453
1.110 5.002 4.163
4.391 6.169 8.971
5.643 0.375 2.404
4.200 4.099 2.404
2.362 3.348 7.212
0.919 7.072 7.212


Entry 8:
PaV4Tc, optimized geometry, DFT PBE-GGA; energy relative to the elements = 107 meV per atom; total magnetic moment = 0.00 Bohr magnetons per cell; N(E_F) = 1.22 states/eV/atom
1.0
-4.199 -1.261 2.600
-3.700 -2.669 -2.273
-0.819 -4.855 1.319
V Tc Pa
4 1 1
Cartesian
-5.036 -3.070 0.371
-3.602 -4.158 2.159
-3.354 -4.858 -0.266
-5.444 -5.486 1.028
0.000 0.000 0.000
-2.180 -2.196 0.411


Entry 9:
MgTlSe3, optimized geometry, DFT PBE-GGA; excess energy over the best structure of this formula in the dataset = 0.0 meV per atom; total magnetic moment = 0.00 Bohr magnetons per cell; N(E_F) = 1.60 states/eV/atom; formation energy without anion corrections = -0.133 eV per atom
1.0
-2.484 2.538 3.782
-3.896 1.048 -3.262
-2.360 -4.402 1.404
Tl Se Mg
1 3 1
Cartesian
-4.370 -0.408 0.962
-1.948 0.524 -1.631
-1.242 1.269 1.891
-1.180 -2.201 0.702
0.000 0.000 0.000


Entry 10:
HfMg, optimized geometry, DFT PBE-GGA; energy relative to the elements = 1375 meV per atom; total magnetic moment = 3.33 Bohr magnetons per cell; N(E_F) = 1.54 states/eV/atom
1.0
-4.579 -7.448 -3.307
-2.216 -2.513 8.727
-7.843 5.059 -0.535
Mg Hf
8 8
Cartesian
-2.849 -0.954 0.951
-8.992 0.601 5.953
-5.333 -2.475 4.889
-10.435 -2.413 -1.396
-6.252 -4.396 0.204
-6.999 -7.037 4.260
-7.523 0.473 1.283
-10.168 -3.405 3.393
-7.906 -1.381 3.673
-7.730 3.451 0.102
-8.412 -2.438 1.096
-13.071 -4.377 4.361
-7.207 -4.059 3.080
-5.166 -6.378 -2.076
-3.309 -2.499 7.381
-5.752 -1.926 1.919


Entry 11:
TaPWS2, optimized geometry, DFT PBE-GGA; excess energy over the best structure of this formula in the dataset = 7.8 meV per atom; total magnetic moment = 0.00 Bohr magnetons per cell; N(E_F) = 1.48 states/eV/atom; formation energy without anion corrections = 0.920 eV per atom
1.0
4.544 0.000 0.000
0.000 4.544 0.000
0.000 0.000 4.786
W S P Ta
1 2 1 1
Cartesian
0.000 0.000 0.000
0.000 2.272 0.000
2.272 0.000 0.000
0.000 0.000 2.393
2.272 2.272 2.393


Entry 12:
Fe3Co2Ni3, optimized geometry, DFT PBE-GGA; energy relative to the elements = -30 meV per atom; total magnetic moment = 13.30 Bohr magnetons per cell; N(E_F) = 0.91 states/eV/atom
1.0
-0.353 1.681 -3.122
-1.817 -2.775 -1.288
-7.141 2.374 0.063
Fe Ni Co
3 3 2
Cartesian
-2.803 1.036 -3.189
0.000 0.000 0.000
-6.508 0.244 -1.158
-5.797 2.481 -2.067
-3.515 -1.201 -2.280
-1.085 -0.547 -2.205
-4.119 0.917 -1.069
-5.193 0.364 -3.278


Entry 13:
CeEuInGa, optimized geometry, DFT PBE-GGA; energy relative to the elements = -378 meV per atom; total magnetic moment = 8.03 Bohr magnetons per cell; N(E_F) = 2.99 states/eV/atom
1.0
-0.922 -0.090 -5.303
-3.742 -3.297 -2.026
-4.585 2.020 -1.970
Ce Ga In Eu
1 1 1 1
Cartesian
-4.624 -0.683 -4.649
-2.312 -0.342 -2.325
-6.936 -1.025 -6.974
0.000 0.000 0.000


Entry 14:
NaSbTeI2, optimized geometry, DFT PBE-GGA; excess energy over the best structure of this formula in the dataset = 0.0 meV per atom; total magnetic moment = 0.00 Bohr magnetons per cell; N(E_F) = 0.31 states/eV/atom; formation energy without anion corrections = -0.292 eV per atom
1.0
6.160 0.000 0.000
0.000 6.160 0.000
0.000 0.000 5.769
Na Te I Sb
1 1 2 1
Cartesian
3.080 3.080 2.885
0.000 0.000 2.885
3.080 0.000 0.000
0.000 3.080 0.000
0.000 0.000 0.000


Entry 15:
TbHoEr3Tm, optimized geometry, DFT PBE-GGA; energy relative to the elements = 217 meV per atom; total magnetic moment = 0.00 Bohr magnetons per cell; N(E_F) = 1.58 states/eV/atom
1.0
5.646 0.000 0.000
-2.823 9.235 1.519
0.000 -1.161 6.977
Er Tm Ho Tb
6 2 2 2
Cartesian
0.000 3.721 2.408
0.000 8.538 3.209
2.823 -0.464 5.287
2.823 4.353 6.088
0.000 2.210 5.720
2.823 5.864 2.775
2.823 2.209 3.676
0.000 5.865 4.819
2.823 2.698 0.703
0.000 5.376 7.793
2.823 7.530 6.600
0.000 0.544 1.896


Entry 16:
SrScRh, optimized geometry, DFT PBE-GGA; excess energy over the best structure of this formula in the dataset = 101.4 meV per atom; energy relative to the elements = -282 meV per atom; total magnetic moment = 0.00 Bohr magnetons per cell; N(E_F) = 0.39 states/eV/atom
1.0
4.074 0.000 0.000
-2.037 3.529 0.000
0.000 0.000 6.123
Sr Rh Sc
1 1 1
Cartesian
0.000 2.352 4.486
0.000 0.000 0.310
2.037 1.176 1.327